A relaxed structure of Pm3Sc2Ag2. Source: the Alexandria database, functional GGA-PBE.

Calculated values
Uncorrected energy   -4.655 eV per atom
Magnetization   0.4 μB/f.u.

Unit cell a=4.8363 b=22.1662 c=3.4387 alpha=90.00 beta=90.00 gamma=90.00
Space group Cmmm (No. 65)
Asymmetric unit:
Pm (0.0000, 0.0000, 0.0000)
Pm (0.0000, 0.1493, 0.0000)
Sc (0.0000, 0.2867, 0.5000)
Ag (0.0000, 0.4262, 0.5000)